Entry 1:
## Na3TlO2 (PBE)

Data for a geometry-optimized Na3TlO2 structure.

```
data_Na3TlO2
_chemical_formula_sum 'Na12 Tl4 O8'
_cell_length_a 12.1259
_cell_length_b 3.6009
_cell_length_c 12.0910
_cell_angle_alpha 90.00
_cell_angle_beta 116.92
_cell_angle_gamma 90.00
_symmetry_space_group_name_H-M 'C 1 2/m 1'
_symmetry_Int_Tables_number 12
loop_
_symmetry_equiv_pos_as_xyz
'x,y,z'
'-x,-y,-z'
'-x,y,-z'
'x,-y,z'
'x+1/2,y+1/2,z'
'-x+1/2,-y+1/2,-z'
'-x+1/2,y+1/2,-z'
'x+1/2,-y+1/2,z'
loop_
_atom_site_label
_atom_site_fract_x
_atom_site_fract_y
_atom_site_fract_z
Na1 0.1476 0.0000 0.4888
Na2 0.1528 0.0000 0.9909
Na3 0.1525 0.5000 0.2584
Tl1 0.1300 0.5000 0.7377
O1 0.2334 0.5000 0.1217
O2 0.2367 0.5000 0.6224
```

## Properties
VASP energy = -90.5 eV for the cell shown
theoretical density = 4.31 g/cm³
M_tot = 0.000 Bohr magnetons per cell
formation energy from raw total energies = -1064 meV/atom

Entry 2:
## Na3TlO3 (PBE)

Data for a geometry-optimized Na3TlO3 structure.

```
data_Na3TlO3
_chemical_formula_sum 'Na12 Tl4 O12'
_cell_length_a 6.8233
_cell_length_b 6.3012
_cell_length_c 10.9601
_cell_angle_alpha 90.00
_cell_angle_beta 90.23
_cell_angle_gamma 90.00
_symmetry_space_group_name_H-M 'P 1 21/c 1'
_symmetry_Int_Tables_number 14
loop_
_symmetry_equiv_pos_as_xyz
'x,y,z'
'-x,-y,-z'
'-x,y+1/2,-z+1/2'
'x,-y+1/2,z+1/2'
loop_
_atom_site_label
_atom_site_fract_x
_atom_site_fract_y
_atom_site_fract_z
Na1 0.1153 0.2495 0.1619
Na2 0.1316 0.6874 0.0923
Na3 0.3482 0.6340 0.8191
Tl1 0.3362 0.1213 0.9189
O1 0.1635 0.5579 0.2900
O2 0.2001 0.0864 0.4589
O3 0.3568 0.5201 0.6140
```

## Properties
VASP energy = -116.2 eV for the cell shown
theoretical density = 4.53 g/cm³
M_tot = 0.001 Bohr magnetons per cell
energy relative to the lowest polymorph listed for this composition = 0.0 meV/atom
formation energy from raw total energies = -1120 meV/atom

Entry 3:
## Na2TlO3 (PBE)

Data for a geometry-optimized Na2TlO3 structure.

```
data_Na2TlO3
_chemical_formula_sum 'Na4 Tl2 O6'
_cell_length_a 3.3075
_cell_length_b 4.7778
_cell_length_c 10.3914
_cell_angle_alpha 90.00
_cell_angle_beta 90.00
_cell_angle_gamma 90.00
_symmetry_space_group_name_H-M 'I m m m'
_symmetry_Int_Tables_number 71
_symmetry_space_group_name_Hall '-I 2 2'
loop_
_atom_site_label
_atom_site_fract_x
_atom_site_fract_y
_atom_site_fract_z
Na1 0.0000 0.0000 0.1719
Tl1 0.0000 0.0000 0.5000
O1 0.0000 0.5000 0.1474
O2 0.0000 0.5000 0.5000
```

## Properties
VASP energy = -51.2 eV for the cell shown
theoretical density = 6.03 g/cm³
M_tot = 2.041 Bohr magnetons per cell
formation energy from raw total energies = -957 meV/atom

Entry 4:
## Na5TlO3 (PBE)

Data for a geometry-optimized Na5TlO3 structure.

```
data_Na5TlO3
_chemical_formula_sum 'Na20 Tl4 O12'
_cell_length_a 10.9856
_cell_length_b 7.5150
_cell_length_c 8.7722
_cell_angle_alpha 90.00
_cell_angle_beta 113.03
_cell_angle_gamma 90.00
_symmetry_space_group_name_H-M 'C 1 2/m 1'
_symmetry_Int_Tables_number 12
loop_
_symmetry_equiv_pos_as_xyz
'x,y,z'
'-x,-y,-z'
'-x,y,-z'
'x,-y,z'
'x+1/2,y+1/2,z'
'-x+1/2,-y+1/2,-z'
'-x+1/2,y+1/2,-z'
'x+1/2,-y+1/2,z'
loop_
_atom_site_label
_atom_site_fract_x
_atom_site_fract_y
_atom_site_fract_z
Na1 0.0000 0.1858 0.0000
Na2 0.0752 0.0000 0.3777
Na3 0.1595 0.3090 0.6706
Na4 0.2347 0.5000 0.0299
Tl1 0.1198 0.5000 0.3000
O1 0.0000 0.5000 0.0000
O2 0.0000 0.5000 0.5000
O3 0.1485 0.0000 0.6852
O4 0.1706 0.0000 0.1670
```

## Properties
VASP energy = -132.7 eV for the cell shown
theoretical density = 3.66 g/cm³
M_tot = 0.000 Bohr magnetons per cell
formation energy from raw total energies = -1037 meV/atom

Entry 5:
## Na3TlO (PBE)

Data for a geometry-optimized Na3TlO structure.

```
data_Na3TlO
_chemical_formula_sum 'Na3 Tl1 O1'
_cell_length_a 4.7816
_cell_length_b 4.7816
_cell_length_c 4.7816
_cell_angle_alpha 90.00
_cell_angle_beta 90.00
_cell_angle_gamma 90.00
_symmetry_space_group_name_H-M 'P m -3 m'
_symmetry_Int_Tables_number 221
_symmetry_space_group_name_Hall '-P 4 2 3'
loop_
_atom_site_label
_atom_site_fract_x
_atom_site_fract_y
_atom_site_fract_z
Na1 0.0000 0.0000 0.5000
Tl1 0.5000 0.5000 0.5000
O1 0.0000 0.0000 0.0000
```

## Properties
VASP energy = -14.3 eV for the cell shown
theoretical density = 4.39 g/cm³
M_tot = 0.000 Bohr magnetons per cell
energy relative to the lowest polymorph listed for this composition = 100.3 meV/atom
formation energy from raw total energies = -596 meV/atom

Entry 6:
## NaTl3O (PBE)

Data for a geometry-optimized NaTl3O structure.

```
data_NaTl3O
_chemical_formula_sum 'Na1 Tl3 O1'
_cell_length_a 5.1835
_cell_length_b 5.1835
_cell_length_c 5.1835
_cell_angle_alpha 90.00
_cell_angle_beta 90.00
_cell_angle_gamma 90.00
_symmetry_space_group_name_H-M 'P m -3 m'
_symmetry_Int_Tables_number 221
_symmetry_space_group_name_Hall '-P 4 2 3'
loop_
_atom_site_label
_atom_site_fract_x
_atom_site_fract_y
_atom_site_fract_z
Na1 0.0000 0.0000 0.0000
Tl1 0.0000 0.5000 0.5000
O1 0.5000 0.5000 0.5000
```

## Properties
VASP energy = -14.3 eV for the cell shown
theoretical density = 7.78 g/cm³
M_tot = 0.000 Bohr magnetons per cell
energy relative to the lowest polymorph listed for this composition = 0.0 meV/atom
formation energy from raw total energies = -184 meV/atom

Entry 7:
## NaTl2O4 (PBE)

Data for a geometry-optimized NaTl2O4 structure.

```
data_NaTl2O4
_chemical_formula_sum 'Na4 Tl8 O16'
_cell_length_a 7.7716
_cell_length_b 7.7716
_cell_length_c 6.6297
_cell_angle_alpha 90.00
_cell_angle_beta 90.00
_cell_angle_gamma 90.00
_symmetry_space_group_name_H-M 'I -4 2 d'
_symmetry_Int_Tables_number 122
_symmetry_space_group_name_Hall 'I -4 2bw'
loop_
_atom_site_label
_atom_site_fract_x
_atom_site_fract_y
_atom_site_fract_z
Na1 0.0000 0.0000 0.0000
Tl1 0.2010 0.7500 0.6250
O1 0.0654 0.7214 0.9088
```

## Properties
VASP energy = -121.3 eV for the cell shown
theoretical density = 8.22 g/cm³
M_tot = 4.180 Bohr magnetons per cell
formation energy from raw total energies = -633 meV/atom

Entry 8:
## NaTlO (PBE)

Data for a geometry-optimized NaTlO structure.

```
data_NaTlO
_chemical_formula_sum 'Na4 Tl4 O4'
_cell_length_a 6.1578
_cell_length_b 3.6137
_cell_length_c 11.7834
_cell_angle_alpha 90.00
_cell_angle_beta 98.48
_cell_angle_gamma 90.00
_symmetry_space_group_name_H-M 'P 1 m 1'
_symmetry_Int_Tables_number 6
loop_
_symmetry_equiv_pos_as_xyz
'x,y,z'
'x,-y,z'
loop_
_atom_site_label
_atom_site_fract_x
_atom_site_fract_y
_atom_site_fract_z
Na1 0.0000 0.0000 0.0000
Na2 0.1386 0.5000 0.6889
Na3 0.5256 0.5000 0.9971
Na4 0.7251 0.0000 0.1819
Tl1 0.2350 0.0000 0.4682
Tl2 0.2377 0.5000 0.1968
Tl3 0.6410 0.0000 0.7322
Tl4 0.7440 0.5000 0.4798
O1 0.3627 0.0000 0.0734
O2 0.4568 0.5000 0.6062
O3 0.8807 0.5000 0.0933
O4 0.9286 0.0000 0.6190
```

## Properties
VASP energy = -45.4 eV for the cell shown
theoretical density = 6.23 g/cm³
M_tot = 0.000 Bohr magnetons per cell
energy relative to the lowest polymorph listed for this composition = 64.9 meV/atom
formation energy from raw total energies = -900 meV/atom

Entry 9:
## Na8TlO6 (PBE)

Data for a geometry-optimized Na8TlO6 structure.

```
data_Na8TlO6
_chemical_formula_sum 'Na24 Tl3 O18'
_cell_length_a 6.5007
_cell_length_b 6.5007
_cell_length_c 17.3698
_cell_angle_alpha 90.00
_cell_angle_beta 90.00
_cell_angle_gamma 120.00
_symmetry_space_group_name_H-M 'R -3'
_symmetry_Int_Tables_number 148
_symmetry_space_group_name_Hall '-R 3'
loop_
_atom_site_label
_atom_site_fract_x
_atom_site_fract_y
_atom_site_fract_z
Na1 0.0000 0.0000 0.1601
Na2 0.0165 0.3668 0.3857
Tl1 0.0000 0.0000 0.5000
O1 0.0119 0.3118 0.5762
```

## Properties
VASP energy = -177.5 eV for the cell shown
theoretical density = 3.80 g/cm³
M_tot = 3.426 Bohr magnetons per cell
formation energy from raw total energies = -1100 meV/atom

Entry 10:
## NaTlO (PBE)

Data for a geometry-optimized NaTlO structure.

```
data_NaTlO
_chemical_formula_sum 'Na2 Tl2 O2'
_cell_length_a 3.5207
_cell_length_b 4.5510
_cell_length_c 8.0162
_cell_angle_alpha 90.00
_cell_angle_beta 90.13
_cell_angle_gamma 90.00
_symmetry_space_group_name_H-M 'P 1 21/m 1'
_symmetry_Int_Tables_number 11
loop_
_symmetry_equiv_pos_as_xyz
'x,y,z'
'-x,-y,-z'
'-x,y+1/2,-z'
'x,-y+1/2,z'
loop_
_atom_site_label
_atom_site_fract_x
_atom_site_fract_y
_atom_site_fract_z
Na1 0.2504 0.2500 0.0595
Tl1 0.2480 0.2500 0.6519
O1 0.2508 0.7500 0.1427
```

## Properties
VASP energy = -23.1 eV for the cell shown
theoretical density = 6.29 g/cm³
M_tot = 0.000 Bohr magnetons per cell
energy relative to the lowest polymorph listed for this composition = 0.0 meV/atom
formation energy from raw total energies = -965 meV/atom